No. 1
# ZrBiF3

A geometry-optimized ZrBiF3 structure (GGA-PBE, Alexandria via LeMat-Bulk).

Unit cell a=4.4344 b=4.4344 c=4.4344 alpha=90.00 beta=90.00 gamma=90.00
With the nearest neighbours (Å) after each atom.
Space group Pm-3m (No. 221)
Symmetry-distinct sites (fractional):
1 Zr 0.0000 0.0000 0.0000  6 F 2.22
2 Bi 0.5000 0.5000 0.5000  12 F 3.14
3 F 0.0000 0.0000 0.5000  2 Zr 2.22

Output
The density of states at the Fermi level is 0.57 states/eV/atom. Its raw formation energy is -1.99 eV/atom.

***

No. 2
# FeReRh2

A geometry-optimized FeReRh2 structure (GGA-PBE, Alexandria via LeMat-Bulk).

Unit cell a=2.8198 b=4.3991 c=9.0838 alpha=90.00 beta=90.00 gamma=90.00
With the nearest neighbours (Å) after each atom.
Space group Imm2 (No. 44)
Symmetry-distinct sites (fractional):
1 Fe 0.0000 0.0000 0.0000  2 Re 2.45, 6 Rh 2.51-2.61
2 Re 0.0000 0.5000 0.7206  2 Fe 2.45, 4 Rh 2.65
3 Rh 0.0000 0.0000 0.4878  4 Fe 2.61, 2 Re 2.81, 2 Rh 2.82
4 Rh 0.0000 0.5000 0.2720  2 Fe 2.51, 4 Re 2.65

Output
The formation enthalpy at 0 K is 0.14 eV/atom. The density of states at the Fermi level is 1.06 states/eV/atom.